[1]
Rb3Tl2Br9: optimized geometry, GGA-PBE.

It has space group P-3m1 (No. 164), with a = 7.8771 Å, b = 7.8771 Å, c = 9.7029 Å, α = 90.00°, β = 90.00° and γ = 120.00°. The inequivalent atoms are Rb at (0.0000, 0.0000, 0.0000), Rb at (0.3333, 0.6667, 0.3335), Tl at (0.3333, 0.6667, 0.8071), Br at (0.0000, 0.5000, 0.0000) and Br at (0.1624, 0.3248, 0.6705).

The total energy comes out at -2.646 eV/atom. For the total moment, the calculation gives 0.00 μB per formula unit.

=====

[2]
Nd2BiS: optimized geometry, GGA-PBE.

It has space group R3m (No. 160, hexagonal axes), with a = 4.2664 Å, b = 4.2664 Å, c = 22.2409 Å, α = 90.00°, β = 90.00° and γ = 120.00°. The inequivalent atoms are Nd at (0.0000, 0.0000, 0.0000), Nd at (0.0000, 0.0000, 0.1899), Bi at (0.0000, 0.0000, 0.4284) and S at (0.0000, 0.0000, 0.5979).

For the excess energy over the best structure of this formula in the dataset, the calculation gives 0.0612 eV/atom. The total energy comes out at -5.753 eV/atom. For the total moment, the calculation gives 0.00 μB per formula unit.

=====

[3]
NaCaF3: optimized geometry, GGA-PBE.

It has space group Pm-3m (No. 221), with a = 4.098 Å, b = 4.098 Å, c = 4.098 Å, α = 90.00°, β = 90.00° and γ = 90.00°. The inequivalent atoms are Na at (0.000, 0.000, 0.000), Ca at (0.500, 0.500, 0.500) and F at (0.000, 0.000, 0.500).

For the excess energy over the best structure of this formula in the dataset, the calculation gives 0.4300 eV/atom. The total energy comes out at -4.760 eV/atom. For the total moment, the calculation gives 0.00 μB per formula unit.

=====

[4]
Er3Si4: optimized geometry, GGA-PBE.

It has space group Cmcm (No. 63), with a = 3.934 Å, b = 10.427 Å, c = 13.611 Å, α = 90.00°, β = 90.00° and γ = 90.00°. The inequivalent atoms are Er at (0.000, 0.023, 0.250), Er at (0.000, 0.317, 0.098), Si at (0.000, 0.000, 0.000), Si at (0.000, 0.253, 0.750) and Si at (0.000, 0.395, 0.606).

The total energy comes out at -5.767 eV/atom. For the total moment, the calculation gives 0.00 μB per formula unit.

=====

[5]
Ce3Ho2ErN6: optimized geometry, GGA-PBE.

It has space group C2/m (No. 12), with a = 6.068 Å, b = 10.510 Å, c = 6.081 Å, α = 90.00°, β = 109.44° and γ = 90.00°. The inequivalent atoms are Ce at (0.000, 0.000, 0.000), Ce at (0.000, 0.333, 0.000), Ho at (0.000, 0.167, 0.500), Er at (0.000, 0.500, 0.500), N at (0.248, 0.334, 0.745) and N at (0.250, 0.000, 0.746).

The total energy comes out at -8.402 eV/atom. For the total moment, the calculation gives 0.86 μB per formula unit.

=====

[6]
Ca2Y4N: optimized geometry, GGA-PBE.

It has space group I4/mmm (No. 139), with a = 4.867 Å, b = 4.867 Å, c = 18.670 Å, α = 90.00°, β = 90.00° and γ = 90.00°. The inequivalent atoms are Ca at (0.000, 0.000, 0.173), Y at (0.000, 0.000, 0.375), Y at (0.000, 0.500, 0.000) and N at (0.000, 0.000, 0.500).

The total energy comes out at -5.701 eV/atom. For the total moment, the calculation gives 0.00 μB per formula unit.

=====

[7]
Mg2TcAu: optimized geometry, GGA-PBE.

It has space group P4mm (No. 99), with a = 3.351 Å, b = 3.351 Å, c = 6.263 Å, α = 90.00°, β = 90.00° and γ = 90.00°. The inequivalent atoms are Mg at (0.000, 0.000, 0.000), Mg at (0.500, 0.500, 0.291), Tc at (0.000, 0.000, 0.514) and Au at (0.500, 0.500, 0.769).

For the excess energy over the best structure of this formula in the dataset, the calculation gives 0.1911 eV/atom. The energy relative to the elements comes out at 12.29 kJ per mole of atoms. The total energy comes out at -4.081 eV/atom. For the total moment, the calculation gives 1.35 μB per formula unit.

=====

[8]
SrIn2Ru: optimized geometry, GGA-PBE.

It has space group Pmmm (No. 47), with a = 3.393 Å, b = 3.403 Å, c = 8.062 Å, α = 90.00°, β = 90.00° and γ = 90.00°. The inequivalent atoms are Sr at (0.000, 0.000, 0.000), In at (0.500, 0.500, 0.311) and Ru at (0.000, 0.000, 0.500).

The energy relative to the elements comes out at -10.02 kJ per mole of atoms. The total energy comes out at -4.212 eV/atom. For the total moment, the calculation gives 0.00 μB per formula unit.

=====

Look up the total moment of the seventh one.
1.35 μB per formula unit

=====

Which formula does entry 5 have?
Ce3Ho2ErN6

=====

Look up the total moment of the second one.
0.00 μB per formula unit